Below is an optimized crystal structure of Sm2Tm3Tl4, with properties calculated at the PBE-GGA level. Values from VASP.

```
&SYSTEM
  ibrav = 0, nat = 18, ntyp = 3
/
ATOMIC_SPECIES
Sm 150.36 Sm.upf
Tm 168.93 Tm.upf
Tl 204.38 Tl.upf
CELL_PARAMETERS angstrom
3.547 -8.236 0.000
3.547 8.236 0.000
0.000 0.000 9.064
ATOMIC_POSITIONS angstrom
Sm 3.547 6.419 8.364
Sm 3.547 1.816 3.832
Sm 3.547 -1.816 5.233
Sm 3.547 -6.419 0.700
Tm 0.000 0.000 4.532
Tm 1.773 3.525 6.798
Tm 1.773 -3.525 2.266
Tm 3.547 0.000 0.000
Tm 5.320 3.525 6.798
Tm 5.320 -3.525 2.266
Tl 3.547 5.174 4.921
Tl 1.773 0.505 6.798
Tl 1.773 -0.505 2.266
Tl 3.547 3.062 0.389
Tl 3.547 -3.062 8.675
Tl 5.320 0.505 6.798
Tl 5.320 -0.505 2.266
Tl 3.547 -5.174 4.143
```

Output
As for the space group: No. 64. The value obtained for the formation energy is -193.2 kJ/mol of formula units. Its theoretical density is 10.19 g cm⁻³. For the relative energy among the computed polymorphs, the calculation gives 5.9 kJ/mol of atoms.



Below is an optimized crystal structure of Ho3SiGe3, with properties calculated at the PBE-GGA level. Values from VASP.

```
&SYSTEM
  ibrav = 0, nat = 14, ntyp = 3
/
ATOMIC_SPECIES
Ho 164.93 Ho.upf
Si 28.09 Si.upf
Ge 72.64 Ge.upf
CELL_PARAMETERS angstrom
5.329 -2.110 0.000
5.329 2.110 0.000
-3.939 0.000 13.200
ATOMIC_POSITIONS angstrom
Ho -1.440 0.000 4.963
Ho -2.481 0.000 12.211
Ho 1.508 0.000 3.042
Ho 5.211 0.000 10.158
Ho 9.201 0.000 0.989
Ho 8.159 0.000 8.237
Si 0.548 0.000 8.247
Si 6.171 0.000 4.953
Ge 2.062 0.000 6.125
Ge 0.422 0.000 12.192
Ge 2.242 0.000 10.233
Ge 4.477 0.000 2.968
Ge 6.297 0.000 1.008
Ge 4.657 0.000 7.076
```

Output
As for the space group: No. 12. The formation energy (no corrections) comes out at -0.70 eV/atom. Its theoretical density is 8.29 g cm⁻³.



Below is an optimized crystal structure of Sm5Ho4Tm, with properties calculated at the PBE-GGA level. Values from VASP.

```
&SYSTEM
  ibrav = 0, nat = 10, ntyp = 3
/
ATOMIC_SPECIES
Sm 150.36 Sm.upf
Ho 164.93 Ho.upf
Tm 168.93 Tm.upf
CELL_PARAMETERS angstrom
-5.287 5.287 2.977
5.287 -5.287 2.977
5.287 5.287 -2.977
ATOMIC_POSITIONS angstrom
Sm 0.000 0.000 0.000
Sm 3.288 3.288 1.383
Sm 1.999 -1.999 4.360
Sm -1.999 1.999 4.360
Sm 1.999 1.999 4.360
Ho 3.437 0.000 1.440
Ho 7.138 0.000 1.440
Ho 0.000 3.437 1.440
Ho 0.000 7.138 1.440
Tm 0.000 0.000 2.792
```

Output
As for the space group: No. 107. The value obtained for the formation energy is 258.0 kJ/mol of formula units. Its theoretical density is 7.88 g cm⁻³. For the relative energy among the computed polymorphs, the calculation gives 21.8 kJ/mol of atoms.



Below is an optimized crystal structure of HfGeRh, with properties calculated at the PBE-GGA level. Values from VASP.

```
&SYSTEM
  ibrav = 0, nat = 3, ntyp = 3
/
ATOMIC_SPECIES
Hf 178.49 Hf.upf
Ge 72.64 Ge.upf
Rh 102.91 Rh.upf
CELL_PARAMETERS angstrom
4.343 0.000 0.000
-2.172 3.761 0.000
0.000 0.000 3.064
ATOMIC_POSITIONS angstrom
Hf 0.000 0.000 0.000
Ge 2.172 1.254 1.532
Rh 0.000 2.508 1.532
```

Output
As for the space group: No. 187. The value obtained for the formation energy is -227.9 kJ/mol of formula units. Its theoretical density is 11.74 g cm⁻³.



Below is an optimized crystal structure of TlAg2Pb, with properties calculated at the PBE-GGA level. Values from VASP.

```
&SYSTEM
  ibrav = 0, nat = 4, ntyp = 3
/
ATOMIC_SPECIES
Tl 204.38 Tl.upf
Ag 107.87 Ag.upf
Pb 207.20 Pb.upf
CELL_PARAMETERS angstrom
3.464 0.000 0.000
0.000 3.464 0.000
0.000 0.000 8.085
ATOMIC_POSITIONS angstrom
Tl 0.000 0.000 0.000
Ag 0.000 0.000 3.467
Ag 1.732 1.732 1.956
Pb 1.732 1.732 5.431
```

Output
As for the space group: No. 99. The value obtained for the formation energy is 32.0 kJ/mol of formula units. Its theoretical density is 10.74 g cm⁻³. For the relative energy among the computed polymorphs, the calculation gives 0.0 kJ/mol of atoms.